Record 1
Entry from Alexandria via LeMat-Bulk: a crystal of CuPtAu2 relaxed with PBEsol (SCAN).

Geometry as POSCAR:
```
CuPtAu2
1.0
2.786 0.000 0.000
1.393 2.412 0.000
1.393 0.804 9.045
Au Pt Cu
2 1 1
Cartesian
4.178 2.412 0.042 Au
4.178 2.412 6.608 Au
1.393 0.804 2.437 Pt
2.786 1.608 4.480 Cu
```

Results
calculated density = 17.8 Mg/m³
energy above the most stable polymorph in this dataset = 0.014 eV/atom
ΔE_f = -0.04 eV per atom
Fermi-level density of states = 1.485 states/eV/f.u.
total magnetic moment = 0.00 μB per formula unit
space group = R3m (160)

Record 2
Entry from Alexandria via LeMat-Bulk: a crystal of LaTcHg2 relaxed with PBEsol (SCAN).

Geometry as POSCAR:
```
LaTcHg2
1.0
3.614 0.000 0.000
0.000 4.683 0.000
-1.807 -2.341 5.056
Hg La Tc
2 1 1
Cartesian
1.807 2.341 2.233 Hg
0.000 0.000 2.823 Hg
1.807 0.000 0.000 La
0.000 2.341 0.000 Tc
```

Results
calculated density = 12.4 Mg/m³
energy above the most stable polymorph in this dataset = 0.000 eV/atom
ΔE_f = 0.06 eV per atom
Fermi-level density of states = 2.425 states/eV/f.u.
total magnetic moment = 0.27 μB per formula unit
space group = Immm (71)

Record 3
Entry from Alexandria via LeMat-Bulk: a crystal of YZrAl2 relaxed with PBEsol (SCAN).

Geometry as POSCAR:
```
YZrAl2
1.0
3.442 0.000 0.000
0.000 4.363 0.000
-1.721 0.000 5.641
Y Al Zr
1 2 1
Cartesian
0.000 0.000 5.213 Y
0.000 0.000 2.217 Al
0.000 2.181 0.674 Al
1.721 2.181 3.167 Zr
```

Results
calculated density = 4.6 Mg/m³
energy above the most stable polymorph in this dataset = 0.008 eV/atom
ΔE_f = -0.41 eV per atom
Fermi-level density of states = 3.120 states/eV/f.u.
total magnetic moment = 0.97 μB per formula unit
space group = Amm2 (38)

Record 4
Entry from Alexandria via LeMat-Bulk: a crystal of NbRePt3 relaxed with PBEsol (SCAN).

Geometry as POSCAR:
```
NbRePt3
1.0
4.725 0.000 0.000
0.000 4.725 0.000
0.000 0.000 4.725
Re Nb Pt
1 1 3
Cartesian
0.000 0.000 0.000 Re
2.362 2.362 2.362 Nb
0.000 2.362 0.000 Pt
0.000 0.000 2.362 Pt
2.362 0.000 0.000 Pt
```

Results
calculated density = 13.6 Mg/m³
ΔE_f = 1.21 eV per atom
Fermi-level density of states = 4.023 states/eV/f.u.
total magnetic moment = 2.52 μB per formula unit
space group = Pm-3m (221)

Record 5
Entry from Alexandria via LeMat-Bulk: a crystal of KSiMo2 relaxed with PBEsol (SCAN).

Geometry as POSCAR:
```
KSiMo2
1.0
-1.172 1.843 1.379
-4.927 -1.995 -1.521
2.380 -1.930 4.601
K Mo Si
1 2 1
Cartesian
-1.859 -1.041 2.230 K
-2.463 -0.997 -0.760 Mo
1.190 -0.965 2.301 Mo
-0.586 0.921 0.690 Si
```

Results
ΔE_f (raw) = 1.410 eV/atom
calculated density = 6.2 Mg/m³
Fermi-level density of states = 3.670 states/eV/f.u.
total magnetic moment = 0.00 μB per formula unit
space group = Cmmm (65)

Record 6
Entry from Alexandria via LeMat-Bulk: a crystal of WCF2 relaxed with PBEsol (SCAN).

Geometry as POSCAR:
```
WCF2
1.0
3.747 0.000 0.000
1.874 3.245 0.000
1.874 1.082 3.060
C W F
1 1 2
Cartesian
0.000 0.000 0.000 C
3.747 2.163 1.530 W
1.874 1.082 0.765 F
5.621 3.245 2.295 F
```

Results
ΔE_f (raw) = 0.881 eV/atom
calculated density = 10.4 Mg/m³
energy above the most stable polymorph in this dataset = 1.077 eV/atom
Fermi-level density of states = 1.189 states/eV/f.u.
total magnetic moment = 0.00 μB per formula unit
space group = Fm-3m (225)

Record 7
Entry from Alexandria via LeMat-Bulk: a crystal of LaTaTc relaxed with PBEsol (SCAN).

Geometry as POSCAR:
```
LaTaTc
1.0
3.012 -0.005 0.000
-1.280 2.726 0.000
-0.866 -1.361 7.264
La Ta Tc
1 1 1
Cartesian
0.866 1.361 7.133 La
0.866 1.361 2.741 Ta
0.000 0.000 4.654 Tc
```

Results
calculated density = 11.6 Mg/m³
ΔE_f = 0.27 eV per atom
Fermi-level density of states = 2.672 states/eV/f.u.
total magnetic moment = 0.00 μB per formula unit
space group = Fmm2 (42)

Record 8
Entry from Alexandria via LeMat-Bulk: a crystal of TaSi2Tc relaxed with PBEsol (SCAN).

Geometry as POSCAR:
```
TaSi2Tc
1.0
-1.525 0.821 2.594
0.909 -2.649 1.372
4.730 2.631 1.949
Si Tc Ta
2 1 1
Cartesian
4.686 2.607 1.931 Si
0.796 -0.300 2.438 Si
3.439 1.170 3.527 Tc
2.287 1.272 0.942 Ta
```

Results
ΔE_f (raw) = -0.498 eV/atom
calculated density = 9.9 Mg/m³
energy above the most stable polymorph in this dataset = 0.000 eV/atom
Fermi-level density of states = 0.437 states/eV/f.u.
total magnetic moment = 0.00 μB per formula unit
space group = P4mm (99)

Record 9
Entry from Alexandria via LeMat-Bulk: a crystal of Nb2SiSe relaxed with PBEsol (SCAN).

Geometry as POSCAR:
```
Nb2SiSe
1.0
4.491 0.000 0.000
2.245 3.889 0.000
2.245 1.296 3.667
Nb Si Se
2 1 1
Cartesian
2.245 1.296 0.917 Nb
6.736 3.889 2.750 Nb
0.000 0.000 0.000 Si
4.491 2.593 1.833 Se
```

Results
ΔE_f (raw) = -0.253 eV/atom
calculated density = 7.6 Mg/m³
Fermi-level density of states = 1.981 states/eV/f.u.
total magnetic moment = 0.00 μB per formula unit
space group = Fm-3m (225)

Record 10
Entry from Alexandria via LeMat-Bulk: a crystal of Cu3P2O8 relaxed with PBEsol (SCAN).

Geometry as POSCAR:
```
Cu3P2O8
1.0
-1.250 1.885 -4.255
-2.509 -3.577 -3.021
-6.001 0.190 1.497
Cu P O
3 2 8
Cartesian
-6.953 -1.280 -4.410 Cu
-2.807 -0.222 -1.369 Cu
0.000 0.000 0.000 Cu
-3.763 -1.088 -4.362 P
-5.996 -0.413 -1.417 P
-5.109 -1.824 -4.700 O
-4.650 0.322 -1.079 O
-8.868 -1.145 -4.138 O
-0.891 -0.356 -1.640 O
-6.694 0.192 -2.660 O
-4.006 0.396 -4.146 O
-5.753 -1.898 -1.633 O
-3.065 -1.694 -3.119 O
```

Results
ΔE_f (raw) = -1.740 eV/atom
calculated density = 4.5 Mg/m³
total magnetic moment = 2.98 μB per formula unit
space group = P-1 (2)

Record 11
Entry from Alexandria via LeMat-Bulk: a crystal of NdTaO4 relaxed with PBEsol (SCAN).

Geometry as POSCAR:
```
NdTaO4
1.0
5.104 -0.028 0.000
-0.542 5.469 0.000
-2.281 -2.720 5.607
Nd Ta O
2 2 8
Cartesian
1.276 -0.007 4.121 Nd
1.005 2.727 1.486 Nd
-1.547 2.741 4.518 Ta
3.828 -0.021 1.089 Ta
2.841 -1.464 5.264 O
-0.288 1.449 5.264 O
-0.559 4.184 0.342 O
2.570 1.271 0.342 O
2.411 1.898 3.284 O
-0.401 3.556 3.284 O
-0.130 0.822 2.322 O
2.682 -0.836 2.322 O
```

Results
ΔE_f (raw) = -3.502 eV/atom
calculated density = 8.3 Mg/m³
Fermi-level density of states = 0.000 states/eV/f.u.
total magnetic moment = 0.00 μB per formula unit
space group = C2/c (15)

Record 12
Entry from Alexandria via LeMat-Bulk: a crystal of BaLaP2 relaxed with PBEsol (SCAN).

Geometry as POSCAR:
```
BaLaP2
1.0
-1.231 4.722 -1.564
-3.845 2.526 2.257
0.995 4.033 3.000
Ba La P
1 1 2
Cartesian
-2.040 5.641 1.847 Ba
-1.020 2.820 0.923 La
0.000 0.000 0.000 P
-3.060 8.461 2.770 P
```

Results
calculated density = 5.9 Mg/m³
ΔE_f = -0.24 eV per atom
Fermi-level density of states = 2.851 states/eV/f.u.
total magnetic moment = 0.00 μB per formula unit
space group = F-43m (216)